! PdRhIO2 | the Alexandria database | PBE-GGA | relaxed; values from VASP
&SYSTEM
  ibrav = 0, nat = 5, ntyp = 4
/
ATOMIC_SPECIES
O 16.00 O.upf
I 126.90 I.upf
Rh 102.91 Rh.upf
Pd 106.42 Pd.upf
ATOMIC_POSITIONS angstrom
O 0.000 1.911 0.000
I 0.000 0.000 3.822
O 1.911 0.000 0.000
Rh 1.911 1.911 3.822
Pd 0.000 0.000 0.000
CELL_PARAMETERS angstrom
3.822 0.000 0.000
0.000 3.822 0.000
0.000 0.000 7.644
! Offset from the most stable computed form (kJ/mol of atoms): 47.3
! Space-group type: No. 123